No. 1
Computed, not measured: a relaxed structure of Ac5Pr2In4 at the PBE level of DFT.

Cell lengths 3.810, 9.058, 12.868 Å; angles 110.61, 98.51, 90.00 degrees
Fractional coordinates of all 11 atoms:
Ac (0.859, 0.069, 0.718)
Ac (0.859, 0.649, 0.718)
Ac (0.141, 0.351, 0.282)
Ac (0.141, 0.931, 0.282)
Ac (0.500, 0.000, 0.000)
Pr (0.277, 0.277, 0.554)
Pr (0.723, 0.723, 0.446)
In (0.000, 0.326, 0.000)
In (0.585, 0.585, 0.171)
In (0.000, 0.674, 0.000)
In (0.415, 0.415, 0.829)

Results
Its magnetic moment is 0.0 μB per cell. The energy of formation comes out at -0.06 eV per atom. As for the symmetry: Immm (71). The mass density comes out at 7.6 Mg/m³. For the density of states at the Fermi level, the calculation gives 14.290 states/eV/f.u.

***

No. 2
Computed, not measured: a relaxed structure of AcPrIn4 at the PBE level of DFT.

Cell lengths 5.086, 5.086, 7.810 Å; angles 90.00, 90.00, 120.00 degrees
Fractional coordinates of all 6 atoms:
Ac (0.000, 0.000, 0.500)
Pr (0.000, 0.000, 0.000)
In (0.333, 0.667, 0.235)
In (0.333, 0.667, 0.765)
In (0.667, 0.333, 0.235)
In (0.667, 0.333, 0.765)

Results
Its magnetic moment is 0.0 μB per cell. The energy of formation comes out at -0.46 eV per atom. As for the symmetry: P6/mmm (191). The mass density comes out at 7.9 Mg/m³. For the density of states at the Fermi level, the calculation gives 3.650 states/eV/f.u.

***

No. 3
Computed, not measured: a relaxed structure of Ac2PrIn2 at the PBE level of DFT.

Cell lengths 5.118, 6.611, 6.611 Å; angles 66.73, 67.23, 67.23 degrees
Fractional coordinates of all 5 atoms:
Ac (0.198, 0.302, 0.302)
Ac (0.802, 0.698, 0.698)
Pr (0.000, 0.000, 0.000)
In (0.500, 0.287, 0.713)
In (0.500, 0.713, 0.287)

Results
Its magnetic moment is 0.0 μB per cell. The energy of formation comes out at -0.35 eV per atom. As for the symmetry: Immm (71). The mass density comes out at 7.5 Mg/m³. For the density of states at the Fermi level, the calculation gives 6.291 states/eV/f.u.